Entry 1:
First-principles (GGA-PBE) data for Ca2AlZn2 after structural relaxation, as listed in the Alexandria database.

Summary:
Formation enthalpy at 0 K   -281 meV per atom
Space group   C2/m

a = 6.0197 Å, b = 6.0197 Å, c = 10.9012 Å
α = 116.00°, β = 116.00°, γ = 43.18°
Element x y z (fractional)
Ca 0.0039 0.0039 0.3320
Ca 0.1934 0.1934 0.1103
Ca 0.8066 0.8066 0.8897
Ca 0.9961 0.9961 0.6680
Al 0.2744 0.2744 0.6375
Al 0.7256 0.7256 0.3625
Zn 0.3635 0.3635 0.4408
Zn 0.4937 0.4937 0.1174
Zn 0.5063 0.5063 0.8826
Zn 0.6365 0.6365 0.5592

---

Entry 2:
First-principles (GGA-PBE) data for SmPaSi after structural relaxation, as listed in the Alexandria database.

Summary:
Formation energy (no corrections)   -0.170 eV per atom
Space group   Cmcm

a = 5.8556 Å, b = 5.8556 Å, c = 6.2247 Å
α = 90.00°, β = 90.00°, γ = 136.45°
Element x y z (fractional)
Sm 0.0000 0.0000 0.0000
Sm 0.0000 0.0000 0.5000
Pa 0.3093 0.6907 0.7500
Pa 0.6907 0.3093 0.2500
Si 0.3681 0.6319 0.2500
Si 0.6319 0.3681 0.7500

---

Entry 3:
First-principles (GGA-PBE) data for Pm3Ni3Rh after structural relaxation, as listed in the Alexandria database.

Summary:
Formation enthalpy at 0 K   -414 meV per atom
Space group   Cmcm

a = 5.3232 Å, b = 5.3232 Å, c = 13.2529 Å
α = 90.00°, β = 90.00°, γ = 132.04°
Element x y z (fractional)
Pm 0.0178 0.9822 0.7500
Pm 0.2737 0.7263 0.1005
Pm 0.2737 0.7263 0.3995
Pm 0.7263 0.2737 0.6005
Pm 0.7263 0.2737 0.8995
Pm 0.9822 0.0178 0.2500
Ni 0.3138 0.6862 0.7500
Ni 0.4344 0.5656 0.5873
Ni 0.4344 0.5656 0.9127
Ni 0.5656 0.4344 0.0873
Ni 0.5656 0.4344 0.4127
Ni 0.6862 0.3138 0.2500
Rh 0.0000 0.0000 0.0000
Rh 0.0000 0.0000 0.5000

---

Entry 4:
First-principles (GGA-PBE) data for LaPm4Er3S8 after structural relaxation, as listed in the Alexandria database.

Summary:
Formation energy (no corrections)   -2.012 eV per atom
Space group   R-3m

a = 7.9963 Å, b = 7.9963 Å, c = 7.9963 Å
α = 59.69°, β = 59.69°, γ = 59.69°
Element x y z (fractional)
La 0.0000 0.0000 0.0000
Pm 0.0000 0.0000 0.5000
Pm 0.0000 0.5000 0.0000
Pm 0.5000 0.0000 0.0000
Pm 0.5000 0.5000 0.5000
Er 0.0000 0.5000 0.5000
Er 0.5000 0.0000 0.5000
Er 0.5000 0.5000 0.0000
S 0.2523 0.2523 0.7358
S 0.2523 0.7358 0.2523
S 0.2557 0.2557 0.2557
S 0.2642 0.7477 0.7477
S 0.7358 0.2523 0.2523
S 0.7443 0.7443 0.7443
S 0.7477 0.2642 0.7477
S 0.7477 0.7477 0.2642